Record 1
Below is BeSe3 after structural relaxation, with properties calculated at the PBE level.

```
data_BeSe3
_space_group_name_H-M_alt 'P -6 m 2'
_space_group_IT_number 187
_space_group_name_Hall 'P -6 2'
_cell_length_a 3.3867
_cell_length_b 3.3867
_cell_length_c 7.7829
_cell_angle_alpha 90.00
_cell_angle_beta 90.00
_cell_angle_gamma 120.00
loop_
_atom_site_label
_atom_site_type_symbol
_atom_site_fract_x
_atom_site_fract_y
_atom_site_fract_z
Be1 Be 0.0000 0.0000 0.0000
Se1 Se 0.0000 0.0000 0.5000
Se2 Se 0.6667 0.3333 0.1689
```

Magnetization   0.000 μB/atom
Calculated total energy   -3.41 eV per atom
E_form (uncorrected)   0.1312 eV/atom

Record 2
Below is La4TbHo3Se8 after structural relaxation, with properties calculated at the PBE level.

```
data_La4TbHo3Se8
_space_group_name_H-M_alt 'R -3 m'
_space_group_IT_number 166
_space_group_name_Hall '-R 3 2"'
_cell_length_a 8.3104
_cell_length_b 8.3104
_cell_length_c 20.8608
_cell_angle_alpha 90.00
_cell_angle_beta 90.00
_cell_angle_gamma 120.00
loop_
_atom_site_label
_atom_site_type_symbol
_atom_site_fract_x
_atom_site_fract_y
_atom_site_fract_z
La1 La 0.0000 0.0000 0.0000
La2 La 0.0000 0.5000 0.0000
Tb1 Tb 0.0000 0.0000 0.5000
Ho1 Ho 0.0000 0.5000 0.5000
Se1 Se 0.0000 0.0000 0.2428
Se2 Se 0.0017 0.5008 0.7567
```

Magnetization   0.000 μB/atom
Calculated total energy   -5.99 eV per atom
E_form (uncorrected)   -1.8728 eV/atom

Record 3
Below is Si2MoP after structural relaxation, with properties calculated at the PBE level.

```
data_Si2MoP
_space_group_name_H-M_alt 'I m m 2'
_space_group_IT_number 44
_space_group_name_Hall 'I 2 -2'
_cell_length_a 3.246
_cell_length_b 4.439
_cell_length_c 7.690
_cell_angle_alpha 90.00
_cell_angle_beta 90.00
_cell_angle_gamma 90.00
loop_
_atom_site_label
_atom_site_type_symbol
_atom_site_fract_x
_atom_site_fract_y
_atom_site_fract_z
Si1 Si 0.000 0.000 0.000
Si2 Si 0.000 0.500 0.270
Mo1 Mo 0.000 0.500 0.772
P1 P 0.000 0.000 0.551
```

Magnetization   0.000 μB/atom
Calculated total energy   -6.72 eV per atom
E_form (uncorrected)   0.0487 eV/atom

Record 4
Below is HfN after structural relaxation, with properties calculated at the PBE level.

```
data_HfN
_space_group_name_H-M_alt 'P 63 m c'
_space_group_IT_number 186
_space_group_name_Hall 'P 6c -2c'
_cell_length_a 3.4926
_cell_length_b 3.4926
_cell_length_c 5.6110
_cell_angle_alpha 90.00
_cell_angle_beta 90.00
_cell_angle_gamma 120.00
loop_
_atom_site_label
_atom_site_type_symbol
_atom_site_fract_x
_atom_site_fract_y
_atom_site_fract_z
Hf1 Hf 0.3333 0.6667 0.0000
N1 N 0.3333 0.6667 0.6233
```

Magnetization   0.000 μB/atom
Calculated total energy   -10.45 eV per atom
E_form (uncorrected)   -1.3085 eV/atom

Record 5
Below is ThAgBr6 after structural relaxation, with properties calculated at the PBE level.

```
data_ThAgBr6
_space_group_name_H-M_alt 'P -1'
_space_group_IT_number 2
_space_group_name_Hall '-P 1'
_cell_length_a 6.760
_cell_length_b 7.315
_cell_length_c 7.495
_cell_angle_alpha 62.86
_cell_angle_beta 89.79
_cell_angle_gamma 64.38
loop_
_atom_site_label
_atom_site_type_symbol
_atom_site_fract_x
_atom_site_fract_y
_atom_site_fract_z
Th1 Th 0.000 0.000 0.000
Ag1 Ag 0.500 0.000 0.500
Br1 Br 0.061 0.546 0.229
Br2 Br 0.269 0.829 0.754
Br3 Br 0.415 0.839 0.272
```

Magnetization   0.081 μB/atom
Calculated total energy   -3.62 eV per atom
E_form (uncorrected)   -1.0814 eV/atom

Record 6
Below is SmTmCuAu after structural relaxation, with properties calculated at the PBE level.

```
data_SmTmCuAu
_space_group_name_H-M_alt 'F -4 3 m'
_space_group_IT_number 216
_space_group_name_Hall 'F -4 2 3'
_cell_length_a 7.124
_cell_length_b 7.124
_cell_length_c 7.124
_cell_angle_alpha 90.00
_cell_angle_beta 90.00
_cell_angle_gamma 90.00
loop_
_atom_site_label
_atom_site_type_symbol
_atom_site_fract_x
_atom_site_fract_y
_atom_site_fract_z
Sm1 Sm 0.000 0.000 0.000
Tm1 Tm 0.000 0.000 0.500
Cu1 Cu 0.250 0.250 0.750
Au1 Au 0.250 0.250 0.250
```

Magnetization   0.000 μB/atom
Calculated total energy   -4.66 eV per atom
Formation energy   -0.52 eV/atom

no.,calculated volume (Å³/cell)
1,77.31
2,1247.68
3,110.79
4,59.28
5,288.57
6,361.59